Crystalline La8Pb at its relaxed geometry. Source: Alexandria via LeMat-Bulk, functional PBE-GGA.

Cell: 8.3096 8.3096 8.3096 Å, 95.33 95.33 144.50°
Last column: nearest neighbours and their distance in Å.
Fractional positions:
La  0.0000  0.3277  0.3277  11 La 3.63-3.86, 1 Pb 3.67
La  0.3277  0.0000  0.3277  11 La 3.63-3.86, 1 Pb 3.67
La  0.3391  0.3391  0.6783  2 Pb 3.59, 10 La 3.60-3.80
La  0.0000  0.6723  0.6723  11 La 3.63-3.86, 1 Pb 3.67
La  0.3391  0.6609  0.0000  2 Pb 3.59, 10 La 3.60-3.80
Pb  0.0000  0.0000  0.0000  12 La 3.59-3.67
La  0.6723  0.0000  0.6723  11 La 3.63-3.86, 1 Pb 3.67
La  0.6609  0.6609  0.3217  2 Pb 3.59, 10 La 3.60-3.80
La  0.6609  0.3391  0.0000  2 Pb 3.59, 10 La 3.60-3.80

## Properties
energy of formation	-107	meV per atom
N(E_F)	18.164	states/eV per cell
total energy	-4.899	eV per atom
polymorph energy (0 for the lowest one)	0.214	eV/f.u.